Arrangement one

Tl2HgAs | SCAN | single point on PBEsol structure

```
Tl2HgAs
1.0
-1.3375 -2.4448 4.9944
5.2312 -1.1278 4.1235
-1.4465 4.3101 4.9971
Hg Tl As
2 4 2
direct
0.7500 0.5000 0.5000 Hg
0.0000 0.0000 0.0000 Hg
0.5779 0.0471 0.5471 Tl
0.1721 0.9529 0.4529 Tl
0.8750 0.5471 0.9529 Tl
0.3750 0.4529 0.0471 Tl
0.2500 0.5000 0.5000 As
0.5000 0.0000 0.0000 As
```

## Properties
The spin magnetization is 0.00 μB per formula unit.


Arrangement two

Tl2HgAs | SCAN | single point on PBEsol structure

```
Tl2HgAs
1.0
3.3522 0.0000 0.0000
0.0000 5.3567 -0.2168
-1.6761 -2.4454 5.7009
Hg As Tl
1 1 2
direct
0.2244 0.7243 0.4489 Hg
0.5089 0.5094 0.0177 As
0.9892 0.9892 0.9784 Tl
0.7775 0.2772 0.5550 Tl
```

## Properties
The spin magnetization is 0.00 μB per formula unit.


Which one sits at the bottom of the stability order? arrangement two does.